{
  "formula": "CsCuTe2PtS",
  "functional": "PBE-GGA",
  "state": "relaxed",
  "rho_g_cm3": 6.5,
  "energy_ev_per_atom": -3.886,
  "magnetic_moment_mub_per_fu": 0.0,
  "sg": "No. 63",
  "cell": [[2.0458, -7.4783, 0.0000], [2.0458, 7.4783, 0.0000], [0.0000, 0.0000, 11.2715]],
  "species": ["Cs", "Cs", "Cu", "Cu", "Te", "Te", "Te", "Te", "Pt", "Pt", "S", "S"],
  "fractional_positions": [[0.2338, 0.7662, 0.7500], [0.7662, 0.2338, 0.2500], [0.0410, 0.9590, 0.2500], [0.9590, 0.0410, 0.7500], [0.1123, 0.8877, 0.0376], [0.1123, 0.8877, 0.4624], [0.8877, 0.1123, 0.5376], [0.8877, 0.1123, 0.9624], [0.5000, 0.5000, 0.0000], [0.5000, 0.5000, 0.5000], [0.4780, 0.5220, 0.2500], [0.5220, 0.4780, 0.7500]]
}